DFT (PBE) results for Ti6Nb3Zn after structural relaxation.

abc: 7.742 4.704 9.908
angles: 90.00 108.15 90.00
Space group P2_1/m (No. 11)
Asymmetric unit:
1 Ti 0.044 0.250 0.404 x2
2 Ti 0.141 0.750 0.197 x2
3 Ti 0.250 0.250 0.996 x2
4 Ti 0.344 0.250 0.304 x2
5 Ti 0.352 0.750 0.804 x2
6 Ti 0.446 0.250 0.612 x2
7 Nb 0.038 0.750 0.892 x2
8 Nb 0.152 0.250 0.703 x2
9 Nb 0.275 0.750 0.508 x2
10 Zn 0.441 0.750 0.101 x2

ΔE_f = -0.01 eV per atom



DFT (PBE) results for La2ErPuS4 after structural relaxation.

abc: 6.966 4.004 7.042
angles: 90.00 109.06 90.00
Space group P2/m (No. 10)
Asymmetric unit:
1 La 0.000 0.000 0.000 x1
2 La 0.500 0.500 0.000 x1
3 Er 0.000 0.500 0.500 x1
4 Pu 0.500 0.000 0.500 x1
5 S 0.239 0.000 0.729 x2
6 S 0.252 0.500 0.268 x2

uncorrected formation energy = -2.02 eV per atom



DFT (PBE) results for CdP2Os after structural relaxation.

abc: 2.923 4.901 9.936
angles: 90.00 90.00 90.00
Space group Cmm2 (No. 35)
Asymmetric unit:
1 Cd 0.000 0.000 0.000 x2
2 P 0.000 0.000 0.566 x2
3 P 0.000 0.500 0.246 x2
4 Os 0.000 0.500 0.744 x2

ΔE_f = 0.54 eV per atom



DFT (PBE) results for Ca2YP after structural relaxation.

abc: 4.525 4.525 5.006
angles: 90.00 90.00 90.00
Space group P4/mmm (No. 123)
Asymmetric unit:
1 Ca 0.000 0.500 0.000 x2
2 Y 0.000 0.000 0.500 x1
3 P 0.500 0.500 0.500 x1

ΔE_f = -0.24 eV per atom



So what do the calculations give for electronic total energy? Going down the list: -157.836, -61.428, -41.608, -16.852 eV/cell.
So what do the calculations give for theoretical density? Going down the list: 6.1, 7.3, 8.5, 3.2 Mg/m³.